# 1
A plane-wave DFT calculation with PBE was carried out for a relaxed structure of TiOsNF2.

Output
The value obtained for the formation energy from raw total energies is -1.7 eV per formula unit. The energy above the most stable polymorph in this dataset is 0 meV/atom. The calculation puts the volume at 62.5 Å³/f.u. As for the spin magnetization: 2.8 μB/f.u. As for the crystal system: tetragonal.

abc: 3.8531 3.8531 4.2131
angles: 90.00 90.00 90.00
Fractional positions:
1 Ti 0.0000 0.0000 0.0000
2 Os 0.5000 0.5000 0.5000
3 N 0.0000 0.0000 0.5000
4 F 0.0000 0.5000 0.0000
5 F 0.5000 0.0000 0.0000



# 2
A plane-wave DFT calculation with PBE was carried out for a relaxed structure of TiOsNF2.

Output
The value obtained for the formation energy from raw total energies is -0.8 eV per formula unit. The energy above the most stable polymorph in this dataset is 179 meV/atom. The calculation puts the volume at 69.9 Å³/f.u. As for the spin magnetization: 2.3 μB/f.u. As for the crystal system: tetragonal.

abc: 4.3036 4.3036 3.7748
angles: 90.00 90.00 90.00
Fractional positions:
1 Ti 0.0000 0.0000 0.0000
2 Os 0.5000 0.5000 0.5000
3 N 0.5000 0.5000 0.0000
4 F 0.0000 0.5000 0.5000
5 F 0.5000 0.0000 0.5000



# 3
A plane-wave DFT calculation with PBE was carried out for a relaxed structure of TiOsN2F.

Output
The value obtained for the formation energy from raw total energies is 1.8 eV per formula unit. The energy above the most stable polymorph in this dataset is 102 meV/atom. The calculation puts the volume at 59.0 Å³/f.u. As for the spin magnetization: 2.5 μB/f.u. As for the crystal system: tetragonal.

abc: 4.0061 4.0061 3.6741
angles: 90.00 90.00 90.00
Fractional positions:
1 Ti 0.0000 0.0000 0.0000
2 Os 0.5000 0.5000 0.5000
3 N 0.0000 0.5000 0.0000
4 N 0.5000 0.0000 0.0000
5 F 0.0000 0.0000 0.5000



# 4
A plane-wave DFT calculation with PBE was carried out for a relaxed structure of TiOsN2F.

Output
The value obtained for the formation energy from raw total energies is 1.3 eV per formula unit. The energy above the most stable polymorph in this dataset is 0 meV/atom. The calculation puts the volume at 62.0 Å³/f.u. As for the spin magnetization: 0.0 μB/f.u. As for the crystal system: tetragonal.

abc: 3.8387 3.8387 4.2089
angles: 90.00 90.00 90.00
Fractional positions:
1 Ti 0.0000 0.0000 0.0000
2 Os 0.5000 0.5000 0.5000
3 N 0.0000 0.5000 0.5000
4 N 0.5000 0.0000 0.5000
5 F 0.5000 0.5000 0.0000



# 5
A plane-wave DFT calculation with PBE was carried out for a relaxed structure of TlOsN2F.

Output
The value obtained for the formation energy from raw total energies is 10.8 eV per formula unit. The energy above the most stable polymorph in this dataset is 2044 meV/atom. The calculation puts the volume at 79.1 Å³/f.u. As for the spin magnetization: 3.5 μB/f.u. As for the crystal system: tetragonal.

abc: 4.2960 4.2960 4.2856
angles: 90.00 90.00 90.00
Fractional positions:
1 Tl 0.0000 0.0000 0.0000
2 Os 0.5000 0.5000 0.5000
3 N 0.0000 0.5000 0.0000
4 N 0.5000 0.0000 0.0000
5 F 0.0000 0.0000 0.5000



# 6
A plane-wave DFT calculation with PBE was carried out for a relaxed structure of TlOsN2F.

Output
The value obtained for the formation energy from raw total energies is 0.5 eV per formula unit. The energy above the most stable polymorph in this dataset is 0 meV/atom. The calculation puts the volume at 76.5 Å³/f.u. As for the spin magnetization: 0.0 μB/f.u. As for the crystal system: tetragonal.

abc: 3.8238 3.8238 5.2289
angles: 90.00 90.00 90.00
Fractional positions:
1 Tl 0.0000 0.0000 0.0000
2 Os 0.5000 0.5000 0.5000
3 N 0.0000 0.5000 0.5000
4 N 0.5000 0.0000 0.5000
5 F 0.5000 0.5000 0.0000